Density functional theory data (meta-GGA SCAN) for a crystal of BaAl3In relaxed with PBEsol.

Its crystal system is cubic. For the size of the total moment, the calculation gives 0.001 μB per atom. The calculation puts the energy of formation at 721 kJ/mol of formula units. As for the space group: Pm-3m, No. 221.

Cell and atoms, written as CIF:
```
data_BaAl3In
_chemical_formula_sum 'Ba1 Al3 In1'
_cell_length_a 5.8370
_cell_length_b 5.8370
_cell_length_c 5.8370
_cell_angle_alpha 90.00
_cell_angle_beta 90.00
_cell_angle_gamma 90.00
_symmetry_space_group_name_H-M 'P 1'
_symmetry_Int_Tables_number 1
_symmetry_space_group_name_Hall 'P 1'
loop_
_atom_site_label
_atom_site_fract_x
_atom_site_fract_y
_atom_site_fract_z
Ba1 0.0000 0.0000 0.0000
Al1 0.0000 0.0000 0.5000
Al2 0.0000 0.5000 0.0000
Al3 0.5000 0.0000 0.0000
In1 0.5000 0.5000 0.5000
```